CaSmDy: relaxed, PBE-GGA.

Values from the calculation:
Volume = 36.1 A^3/atom
Energy relative to the elements = 25.13 kJ per mole of atoms
SG = P4/nmm, No. 129

Cell and atoms, written as POSCAR:
```
CaSmDy
1.0
4.9233 0.0000 0.0000
0.0000 4.9233 0.0000
0.0000 0.0000 8.9307
Sm Dy Ca
2 2 2
Cartesian
0.0000 2.4616 6.3890
2.4616 0.0000 2.5418
2.4616 2.4616 0.0000
0.0000 0.0000 0.0000
2.4616 0.0000 6.0688
0.0000 2.4616 2.8619
```

CaSmDy: relaxed, PBE-GGA.

Values from the calculation:
Volume = 35.0 A^3/atom
Energy relative to the elements = 5.08 kJ per mole of atoms
SG = I4mm, No. 107

Cell and atoms, written as POSCAR:
```
CaSmDy
1.0
-2.3957 -0.7514 -2.6681
-2.0177 -1.9455 2.3595
-1.8537 7.7835 1.9880
Ca Sm Dy
1 1 1
Cartesian
-6.2584 5.0728 1.6754
-3.6388 0.9212 0.4924
-2.6370 4.1793 1.1909
```

CaSm8Dy4: relaxed, PBE-GGA.

Values from the calculation:
Volume = 33.5 A^3/atom
Energy relative to the elements = 3.81 kJ per mole of atoms
SG = C2/m, No. 12

Cell and atoms, written as POSCAR:
```
CaSm8Dy4
1.0
5.0092 0.0000 1.0469
2.7977 5.5360 -0.8789
-0.7905 -2.8761 16.2894
Ca Sm Dy
1 8 4
Cartesian
0.0000 0.0000 0.0000
4.2170 3.4075 4.8371
2.7993 -0.7476 11.6203
4.9469 3.6099 1.3448
2.0694 -0.9500 15.1127
5.6469 1.1998 10.5026
1.3694 1.4601 5.9548
4.2605 -0.2209 4.6289
2.7558 2.8808 11.8285
3.4848 3.1191 8.3407
3.5316 -0.4592 8.1167
4.9195 0.8938 13.9833
2.0969 1.7661 2.4741
```

CaSm5Dy3: relaxed, PBE-GGA.

Values from the calculation:
Volume = 33.5 A^3/atom
Energy relative to the elements = 8.01 kJ per mole of atoms
SG = Cmcm, No. 63

Cell and atoms, written as POSCAR:
```
CaSm5Dy3
1.0
-8.9243 -3.8923 -2.1947
8.9017 -3.3400 -7.5800
-0.7129 -2.1402 6.6945
Ca Sm Dy
2 10 6
Cartesian
-6.3458 -4.1396 3.5918
-3.2914 -1.8929 0.9080
-3.2911 -2.8074 4.3430
-0.6072 -6.6005 -0.3129
2.6895 -1.2748 -1.9867
-0.1283 -2.7719 -2.7673
-0.4382 -5.8803 -3.7939
-6.3460 -3.2251 0.1568
5.4468 -3.0455 -2.2590
-6.1823 -6.3270 -0.8213
-0.2973 -3.4921 0.7136
-3.4250 -8.0976 -1.0935
0.0000 0.0000 0.0000
-3.1946 -4.4718 -1.7727
-0.3565 -1.0701 3.3472
2.4591 -4.9007 -1.3076
-3.5509 -5.5417 1.5746
2.8154 -3.8307 -4.6548
```

What did the first record say?
CaSmDy: relaxed, PBE-GGA.

Values from the calculation:
Volume = 36.1 A^3/atom
Energy relative to the elements = 25.13 kJ per mole of atoms
SG = P4/nmm, No. 129

Cell and atoms, written as POSCAR:
```
CaSmDy
1.0
4.9233 0.0000 0.0000
0.0000 4.9233 0.0000
0.0000 0.0000 8.9307
Sm Dy Ca
2 2 2
Cartesian
0.0000 2.4616 6.3890
2.4616 0.0000 2.5418
2.4616 2.4616 0.0000
0.0000 0.0000 0.0000
2.4616 0.0000 6.0688
0.0000 2.4616 2.8619
```

Question: Among the records above, which one has the highest energy relative to the elements?
Answer: number 1

Question: What is the formula in the fourth record?
Answer: CaSm5Dy3